Entry from Alexandria via LeMat-Bulk: a crystal of TaRuOF2 relaxed with PBEsol (SCAN).

```
TaRuOF2
1.0
-2.252 -1.052 -3.013
2.016 -3.580 -0.256
-2.692 -1.703 2.607
O F Ta Ru
1 2 1 1
Cartesian
-1.126 -0.526 -1.507
1.008 -1.790 -0.128
-1.346 -0.851 1.303
0.000 0.000 0.000
-1.464 -3.167 -0.331
```

Values from the calculation:
- DOS(E_F) (states/eV/f.u.) = 2.8
- DFT total energy (eV/atom) = -24.025
- size of the total moment (μB per cell) = 1.39